VASP calculation (PBE-GGA) on crystalline AlMoPS2 at its relaxed geometry.

Its density of states at the Fermi level is 5.397 states/eV per cell. The calculation puts the total DFT energy (no corrections) at -23.90 eV per formula unit. As for the volume: 19.0 A^3/atom. The value obtained for the excess energy over the best structure of this formula in the dataset is 627 meV/atom. The value obtained for the theoretical density is 3.817 Mg/m³. As for the formation energy without anion corrections: 0.869 eV/atom.

It has space group P4/mmm (No. 123), with a = 4.5162 Å, b = 4.5162 Å, c = 4.6507 Å, α = 90.00°, β = 90.00° and γ = 90.00°. The asymmetric unit holds Al at (0.0000, 0.0000, 0.0000), Mo at (0.5000, 0.5000, 0.0000), P at (0.5000, 0.5000, 0.5000) and S at (0.0000, 0.5000, 0.5000).